# 1
The following is a PBE calculation of an optimized crystal structure of CsKCd3, from Alexandria via LeMat-Bulk.

Values from the calculation:
N(E_F) = 4.46 states/eV per cell
energy above the most stable polymorph in this dataset = 148.5 kJ/mol of formula units
E_tot = -0.70 eV per atom
symmetry = Pm-3m

```
CsKCd3
1.0
6.515 0.000 0.000
0.000 6.515 0.000
0.000 0.000 6.515
Cs K Cd
1 1 3
Cartesian
0.000 0.000 0.000
3.257 3.257 3.257
0.000 3.257 3.257
3.257 0.000 3.257
3.257 3.257 0.000
```

=====

# 2
The following is a PBE calculation of an optimized crystal structure of AcCdAsF, from Alexandria via LeMat-Bulk.

Values from the calculation:
N(E_F) = 13.63 states/eV per cell
E_tot = -4.30 eV per atom
E_form (uncorrected) = -136.38 kJ per mole of atoms
symmetry = F-43m

```
AcCdAsF
1.0
7.215 0.000 0.000
0.000 7.215 0.000
0.000 0.000 7.215
Ac Cd As F
4 4 4 4
Cartesian
0.000 0.000 0.000
0.000 3.607 3.607
3.607 0.000 3.607
3.607 3.607 0.000
0.000 0.000 3.607
0.000 3.607 0.000
3.607 0.000 0.000
3.607 3.607 3.607
1.804 1.804 5.411
1.804 5.411 1.804
5.411 1.804 1.804
5.411 5.411 5.411
1.804 1.804 1.804
1.804 5.411 5.411
5.411 1.804 5.411
5.411 5.411 1.804
```

=====

# 3
The following is a PBE calculation of an optimized crystal structure of Cs2RbAlI6, from Alexandria via LeMat-Bulk.

Values from the calculation:
N(E_F) = 0.00 states/eV per cell
energy above the most stable polymorph in this dataset = 0.0 kJ/mol of formula units
E_tot = -2.71 eV per atom
E_form (uncorrected) = -109.57 kJ per mole of atoms
symmetry = Pmmn

```
Cs2RbAlI6
1.0
8.435 0.000 0.000
0.000 12.573 0.000
0.000 0.000 9.644
Cs Rb Al I
4 2 2 12
Cartesian
2.109 0.371 1.874
2.109 5.916 1.874
6.327 6.658 7.770
6.327 12.202 7.770
2.109 3.143 6.754
6.327 9.430 2.890
2.109 9.430 7.631
6.327 3.143 2.013
0.111 9.430 5.708
0.164 9.430 0.026
2.109 6.634 7.652
2.109 12.226 7.652
4.053 9.430 0.026
4.107 9.430 5.708
4.329 3.143 3.935
4.382 3.143 9.618
6.327 0.348 1.992
6.327 5.939 1.992
8.271 3.143 9.618
8.324 3.143 3.935
```

=====

# 4
The following is a PBE calculation of an optimized crystal structure of Y2SnTe2, from Alexandria via LeMat-Bulk.

Values from the calculation:
N(E_F) = 7.18 states/eV per cell
energy above the most stable polymorph in this dataset = 0.0 kJ/mol of formula units
E_tot = -5.59 eV per atom
E_form (uncorrected) = -91.74 kJ per mole of atoms
symmetry = P4/mbm

```
Y2SnTe2
1.0
8.472 0.000 0.000
0.000 8.472 0.000
0.000 0.000 4.011
Y Sn Te
4 2 4
Cartesian
1.337 2.899 0.000
2.899 7.135 0.000
5.573 1.337 0.000
7.135 5.573 0.000
0.000 0.000 0.000
4.236 4.236 0.000
1.213 5.449 2.005
3.023 1.213 2.005
5.449 7.259 2.005
7.259 3.023 2.005
```

=====

# 5
The following is a PBE calculation of an optimized crystal structure of CaYMg6, from Alexandria via LeMat-Bulk.

Values from the calculation:
N(E_F) = 5.52 states/eV per cell
energy above the most stable polymorph in this dataset = 5.4 kJ/mol of formula units
E_tot = -2.31 eV per atom
symmetry = P4/mmm

```
CaYMg6
1.0
6.712 0.000 0.000
0.000 6.712 0.000
0.000 0.000 4.669
Ca Y Mg
1 1 6
Cartesian
0.000 0.000 0.000
3.356 3.356 0.000
0.000 3.356 0.000
1.722 1.722 2.334
1.722 4.990 2.334
3.356 0.000 0.000
4.990 1.722 2.334
4.990 4.990 2.334
```

=====

# 6
The following is a PBE calculation of an optimized crystal structure of PrDyY2Tl2, from Alexandria via LeMat-Bulk.

Values from the calculation:
N(E_F) = 12.72 states/eV per cell
E_tot = -4.79 eV per atom
symmetry = Pmc2_1

```
PrDyY2Tl2
1.0
5.149 0.000 0.000
0.000 10.108 0.000
0.000 0.000 6.885
Pr Dy Y Tl
2 2 4 4
Cartesian
0.000 0.450 0.000
0.000 9.658 3.442
2.574 1.945 4.977
2.574 8.163 1.535
0.000 3.207 2.632
0.000 6.901 6.074
2.574 4.592 0.661
2.574 5.515 4.103
0.000 3.734 5.787
0.000 6.374 2.344
2.574 1.394 1.825
2.574 8.713 5.267
```

=====

# 7
The following is a PBE calculation of an optimized crystal structure of Li4CeCd5, from Alexandria via LeMat-Bulk.

Values from the calculation:
N(E_F) = 8.62 states/eV per cell
E_tot = -2.05 eV per atom
symmetry = P4/mmm

```
Li4CeCd5
1.0
3.348 0.000 0.000
0.000 3.348 0.000
0.000 0.000 17.610
Li Ce Cd
4 1 5
Cartesian
0.000 0.000 1.595
0.000 0.000 4.834
0.000 0.000 12.776
0.000 0.000 16.015
0.000 0.000 8.805
1.674 1.674 0.000
1.674 1.674 3.211
1.674 1.674 6.436
1.674 1.674 11.175
1.674 1.674 14.399
```

=====

# 8
The following is a PBE calculation of an optimized crystal structure of TeP2Pt, from Alexandria via LeMat-Bulk.

Values from the calculation:
N(E_F) = 5.23 states/eV per cell
E_tot = -4.44 eV per atom
E_form (uncorrected) = 54.22 kJ per mole of atoms
symmetry = I-4m2

```
TeP2Pt
1.0
4.634 0.000 0.000
0.000 4.634 0.000
0.000 0.000 6.642
Te P Pt
2 4 2
Cartesian
0.000 0.000 0.000
2.317 2.317 3.321
0.000 0.000 3.321
0.000 2.317 4.981
2.317 0.000 1.660
2.317 2.317 0.000
0.000 2.317 1.660
2.317 0.000 4.981
```

=====

Q: What is the formula in the seventh record?
A: Li4CeCd5

=====

Copy entry 1 word for word.
The following is a PBE calculation of an optimized crystal structure of CsKCd3, from Alexandria via LeMat-Bulk.

Values from the calculation:
N(E_F) = 4.46 states/eV per cell
energy above the most stable polymorph in this dataset = 148.5 kJ/mol of formula units
E_tot = -0.70 eV per atom
symmetry = Pm-3m

```
CsKCd3
1.0
6.515 0.000 0.000
0.000 6.515 0.000
0.000 0.000 6.515
Cs K Cd
1 1 3
Cartesian
0.000 0.000 0.000
3.257 3.257 3.257
0.000 3.257 3.257
3.257 0.000 3.257
3.257 3.257 0.000
```

=====

Q: What is the E_tot in the eighth record?
A: -4.44 eV per atom

=====

Q: Among the records above, which one has the highest E_tot?
A: CsKCd3